Here is crystalline CoTc3 at its relaxed geometry from Alexandria via LeMat-Bulk. Energies are from PBE.

a = 4.2835 Å, b = 4.2835 Å, c = 4.2835 Å
α = 60.00°, β = 60.00°, γ = 60.00°
Fractional coordinates of all 4 atoms:
1 Co 0.0000 0.0000 0.0000
2 Tc 0.2500 0.2500 0.2500
3 Tc 0.5000 0.5000 0.5000
4 Tc 0.7500 0.7500 0.7500

Output
The energy above the lowest structure with this stoichiometry comes out at 312 meV/atom. Its volume is 13.894 Å³ per atom. As for the space group: Fm-3m. As for the density: 10.55 g/cm³. The value obtained for the magnetic moment is 1.84 Bohr magnetons per cell.

=====

Here is crystalline CoTc3 at its relaxed geometry from Alexandria via LeMat-Bulk. Energies are from PBE.

a = 4.2905 Å, b = 5.3931 Å, c = 4.6644 Å
α = 90.00°, β = 90.00°, γ = 90.00°
Fractional coordinates of all 8 atoms:
1 Co 0.2500 0.2500 0.1707
2 Co 0.7500 0.7500 0.8293
3 Tc 0.2500 0.0015 0.6697
4 Tc 0.2500 0.4985 0.6697
5 Tc 0.2500 0.7500 0.1630
6 Tc 0.7500 0.2500 0.8370
7 Tc 0.7500 0.5015 0.3303
8 Tc 0.7500 0.9985 0.3303

Output
The energy above the lowest structure with this stoichiometry comes out at 15 meV/atom. Its volume is 13.491 Å³ per atom. As for the space group: Pmmn. As for the density: 10.86 g/cm³. The value obtained for the magnetic moment is 0.00 Bohr magnetons per cell.

=====

Here is crystalline CoTc3 at its relaxed geometry from Alexandria via LeMat-Bulk. Energies are from PBE.

a = 5.3826 Å, b = 5.3826 Å, c = 4.2962 Å
α = 90.00°, β = 90.00°, γ = 120.00°
Fractional coordinates of all 8 atoms:
1 Co 0.3333 0.6667 0.2500
2 Co 0.6667 0.3333 0.7500
3 Tc 0.1664 0.3329 0.7500
4 Tc 0.1664 0.8336 0.7500
5 Tc 0.3329 0.1664 0.2500
6 Tc 0.6671 0.8336 0.7500
7 Tc 0.8336 0.1664 0.2500
8 Tc 0.8336 0.6671 0.2500

Output
The energy above the lowest structure with this stoichiometry comes out at 0 meV/atom. Its volume is 13.474 Å³ per atom. As for the space group: P6_3/mmc. As for the density: 10.87 g/cm³. The value obtained for the magnetic moment is 0.00 Bohr magnetons per cell.

=====

Here is crystalline CoTc3 at its relaxed geometry from Alexandria via LeMat-Bulk. Energies are from PBE.

a = 8.8438 Å, b = 8.8438 Å, c = 8.8438 Å
α = 17.56°, β = 17.56°, γ = 17.56°
Fractional coordinates of all 4 atoms:
1 Co 0.0000 0.0000 0.0000
2 Tc 0.2530 0.2530 0.2530
3 Tc 0.5000 0.5000 0.5000
4 Tc 0.7470 0.7470 0.7470

Output
The energy above the lowest structure with this stoichiometry comes out at 185 meV/atom. Its volume is 13.735 Å³ per atom. As for the space group: R-3m. As for the density: 10.67 g/cm³. The value obtained for the magnetic moment is 0.63 Bohr magnetons per cell.

=====

Here is crystalline Co3Tc at its relaxed geometry from Alexandria via LeMat-Bulk. Energies are from PBE.

a = 4.0808 Å, b = 5.0582 Å, c = 4.4158 Å
α = 90.00°, β = 90.00°, γ = 90.00°
Fractional coordinates of all 8 atoms:
1 Co 0.2500 0.0014 0.1643
2 Co 0.2500 0.4986 0.1643
3 Co 0.2500 0.7500 0.6730
4 Co 0.7500 0.2500 0.3270
5 Co 0.7500 0.5014 0.8357
6 Co 0.7500 0.9986 0.8357
7 Tc 0.2500 0.2500 0.6632
8 Tc 0.7500 0.7500 0.3368

Output
Its volume is 11.394 Å³ per atom. As for the space group: Pmmn. As for the density: 10.01 g/cm³. The value obtained for the magnetic moment is 3.64 Bohr magnetons per cell. As for the total DFT energy (no corrections): -7.90 eV/atom.

=====

Here is crystalline Co3Tc at its relaxed geometry from Alexandria via LeMat-Bulk. Energies are from PBE.

a = 4.3963 Å, b = 4.3963 Å, c = 4.3969 Å
α = 99.57°, β = 99.57°, γ = 33.82°
Fractional coordinates of all 4 atoms:
1 Co 0.0000 0.0000 0.0000
2 Co 0.2536 0.2536 0.7573
3 Co 0.7464 0.7464 0.2427
4 Tc 0.5000 0.5000 0.5000

Output
Its volume is 11.645 Å³ per atom. As for the space group: C2/m. As for the density: 9.80 g/cm³. The value obtained for the magnetic moment is 3.02 Bohr magnetons per cell. As for the total DFT energy (no corrections): -7.82 eV/atom.

=====

Here is crystalline Co4Tc3 at its relaxed geometry from Alexandria via LeMat-Bulk. Energies are from PBE.

a = 4.8986 Å, b = 4.8986 Å, c = 4.4854 Å
α = 90.00°, β = 90.00°, γ = 120.00°
Fractional coordinates of all 7 atoms:
1 Co 0.0000 0.0000 0.2415
2 Co 0.0000 0.0000 0.7585
3 Co 0.3333 0.6667 0.0000
4 Co 0.6667 0.3333 0.0000
5 Tc 0.0000 0.5000 0.5000
6 Tc 0.5000 0.0000 0.5000
7 Tc 0.5000 0.5000 0.5000

Output
The energy above the lowest structure with this stoichiometry comes out at 192 meV/atom. Its volume is 13.316 Å³ per atom. As for the space group: P6/mmm. As for the density: 9.44 g/cm³. The value obtained for the magnetic moment is 3.56 Bohr magnetons per cell.

=====

Here is crystalline CoTc5 at its relaxed geometry from Alexandria via LeMat-Bulk. Energies are from PBE.

a = 4.3068 Å, b = 7.2241 Å, c = 7.2241 Å
α = 21.81°, β = 90.00°, γ = 90.00°
Fractional coordinates of all 6 atoms:
1 Co 0.0000 0.0000 0.0000
2 Tc 0.0000 0.3340 0.3340
3 Tc 0.0000 0.6591 0.6591
4 Tc 0.5000 0.2211 0.2211
5 Tc 0.5000 0.5498 0.5498
6 Tc 0.5000 0.8897 0.8897

Output
The energy above the lowest structure with this stoichiometry comes out at 0 meV/atom. Its volume is 13.915 Å³ per atom. As for the space group: Amm2. As for the density: 10.92 g/cm³. The value obtained for the magnetic moment is 0.00 Bohr magnetons per cell.

=====

Here is crystalline Co3Tc at its relaxed geometry from Alexandria via LeMat-Bulk. Energies are from PBE.

a = 4.8113 Å, b = 4.8113 Å, c = 4.8113 Å
α = 148.87°, β = 64.25°, γ = 125.34°
Fractional coordinates of all 4 atoms:
1 Co 0.0000 0.0000 0.0000
2 Co 0.0840 0.3384 0.7456
3 Co 0.5928 0.3384 0.2544
4 Tc 0.4948 0.9948 0.5000

Output
Its volume is 11.620 Å³ per atom. As for the space group: Imm2. As for the density: 9.82 g/cm³. The value obtained for the magnetic moment is 2.88 Bohr magnetons per cell. As for the total DFT energy (no corrections): -7.83 eV/atom.

=====

Here is crystalline Co7Tc6 at its relaxed geometry from Alexandria via LeMat-Bulk. Energies are from PBE.

a = 8.8471 Å, b = 8.8471 Å, c = 8.8471 Å
α = 30.61°, β = 30.61°, γ = 30.61°
Fractional coordinates of all 13 atoms:
1 Co 0.0000 0.0000 0.0000
2 Co 0.0907 0.0907 0.5868
3 Co 0.0907 0.5868 0.0907
4 Co 0.4132 0.9093 0.9093
5 Co 0.5868 0.0907 0.0907
6 Co 0.9093 0.4132 0.9093
7 Co 0.9093 0.9093 0.4132
8 Tc 0.1656 0.1656 0.1656
9 Tc 0.3477 0.3477 0.3477
10 Tc 0.4524 0.4524 0.4524
11 Tc 0.5476 0.5476 0.5476
12 Tc 0.6523 0.6523 0.6523
13 Tc 0.8344 0.8344 0.8344

Output
Its volume is 12.247 Å³ per atom. As for the space group: R-3m. As for the density: 10.44 g/cm³. The value obtained for the magnetic moment is 4.31 Bohr magnetons per cell. As for the total DFT energy (no corrections): -8.58 eV/atom.

=====

Here is crystalline Co3Tc at its relaxed geometry from Alexandria via LeMat-Bulk. Energies are from PBE.

a = 4.4344 Å, b = 8.2663 Å, c = 5.1351 Å
α = 90.00°, β = 90.00°, γ = 90.00°
Fractional coordinates of all 16 atoms:
1 Co 0.0851 0.2500 0.1352
2 Co 0.2423 0.5024 0.8797
3 Co 0.2423 0.9976 0.8797
4 Co 0.2577 0.0024 0.3797
5 Co 0.2577 0.4976 0.3797
6 Co 0.4149 0.7500 0.6352
7 Co 0.5851 0.2500 0.3648
8 Co 0.7423 0.5024 0.6203
9 Co 0.7423 0.9976 0.6203
10 Co 0.7577 0.0024 0.1203
11 Co 0.7577 0.4976 0.1203
12 Co 0.9149 0.7500 0.8648
13 Tc 0.0796 0.2500 0.6217
14 Tc 0.4204 0.7500 0.1217
15 Tc 0.5796 0.2500 0.8783
16 Tc 0.9204 0.7500 0.3783

Output
Its volume is 11.764 Å³ per atom. As for the space group: Pnma. As for the density: 9.70 g/cm³. The value obtained for the magnetic moment is 15.63 Bohr magnetons per cell. As for the total DFT energy (no corrections): -7.82 eV/atom.

=====

Here is crystalline CoTc5 at its relaxed geometry from Alexandria via LeMat-Bulk. Energies are from PBE.

a = 2.7010 Å, b = 2.7010 Å, c = 11.4476 Å
α = 90.00°, β = 90.00°, γ = 90.00°
Fractional coordinates of all 6 atoms:
1 Co 0.0000 0.0000 0.0000
2 Tc 0.0000 0.0000 0.3280
3 Tc 0.0000 0.0000 0.6720
4 Tc 0.5000 0.5000 0.1542
5 Tc 0.5000 0.5000 0.5000
6 Tc 0.5000 0.5000 0.8458

Output
The energy above the lowest structure with this stoichiometry comes out at 67 meV/atom. Its volume is 13.919 Å³ per atom. As for the space group: P4/mmm. As for the density: 10.91 g/cm³. The value obtained for the magnetic moment is 0.02 Bohr magnetons per cell.

=====

Q: magnetic moment of number 4 (CoTc3)?
A: 0.63 Bohr magnetons per cell